Entry 1:
A relaxed Tb2Tm5Cd crystal. Source: Alexandria, functional PBE-GGA.

As for the energy of formation from the pure elements: -45 meV per atom.

The space group is P1 (No. 1) and the conventional cell measures 6.5528, 6.5532 and 6.9850 Å, with angles of 105.24, 105.50 and 115.74 degrees. Symmetry generates all atoms from Tb at (0.0000, 0.0000, 0.0000), Tb at (0.4170, 0.8947, 0.3145), Tm at (0.0022, 0.0048, 0.4875), Tm at (0.4081, 0.9074, 0.8189), Tm at (0.4798, 0.4825, 0.4877), Tm at (0.8932, 0.4189, 0.3150), Tm at (0.9076, 0.4093, 0.8190) and Cd at (0.4878, 0.4860, 0.9765).

***

Entry 2:
A relaxed In12Bi5Br3 crystal. Source: Alexandria, functional PBE-GGA.

The uncorrected formation energy comes out at 31 meV per atom.

The space group is Ia-3d (No. 230) and the conventional cell measures 18.3363, 18.3363 and 18.3363 Å, with angles of 90.00, 90.00 and 90.00 degrees. Symmetry generates all atoms from In at (0.0043, 0.0718, 0.6591), Bi at (0.0000, 0.0000, 0.0000), Bi at (0.0000, 0.2500, 0.3750) and Br at (0.0000, 0.2500, 0.1250).

***

Entry 3:
A relaxed ZrReAu crystal. Source: Alexandria, functional PBE-GGA.

As for the energy of formation from the pure elements: 823 meV per atom. As for the distance to the lowest polymorph of the same formula: 741 meV/atom.

The space group is F-43m (No. 216) and the conventional cell measures 6.3717, 6.3717 and 6.3717 Å, with angles of 90.00, 90.00 and 90.00 degrees. Symmetry generates all atoms from Zr at (0.0000, 0.0000, 0.0000), Re at (0.2500, 0.2500, 0.7500) and Au at (0.2500, 0.2500, 0.2500).

***

Entry 4:
A relaxed Ir4RuCl crystal. Source: Alexandria, functional PBE-GGA.

The uncorrected formation energy comes out at 1114 meV per atom.

The space group is F-43m (No. 216) and the conventional cell measures 7.3591, 7.3591 and 7.3591 Å, with angles of 90.00, 90.00 and 90.00 degrees. Symmetry generates all atoms from Ir at (0.1248, 0.1248, 0.1248), Ru at (0.2500, 0.2500, 0.7500) and Cl at (0.0000, 0.0000, 0.5000).

***

Entry 5:
A relaxed Sr5Sb2O2 crystal. Source: Alexandria, functional PBE-GGA.

The uncorrected formation energy comes out at -1717 meV per atom. As for the distance to the lowest polymorph of the same formula: 78 meV/atom.

The space group is C2/m (No. 12) and the conventional cell measures 13.8401, 5.2898 and 7.6765 Å, with angles of 90.00, 107.27 and 90.00 degrees. Symmetry generates all atoms from Sr at (0.0000, 0.0000, 0.0000), Sr at (0.1515, 0.0000, 0.5750), Sr at (0.1650, 0.5000, 0.9151), Sb at (0.0951, 0.5000, 0.3046) and O at (0.1603, 0.0000, 0.8925).

***

Entry 6:
A relaxed NaSr3Cd crystal. Source: Alexandria, functional PBE-GGA.

As for the energy of formation from the pure elements: 0 meV per atom. As for the distance to the lowest polymorph of the same formula: 101 meV/atom.

The space group is Pm-3m (No. 221) and the conventional cell measures 6.4088, 6.4088 and 6.4088 Å, with angles of 90.00, 90.00 and 90.00 degrees. Symmetry generates all atoms from Na at (0.0000, 0.0000, 0.0000), Sr at (0.0000, 0.5000, 0.5000) and Cd at (0.5000, 0.5000, 0.5000).

***

Entry 7:
A relaxed SrTaPb crystal. Source: Alexandria, functional PBE-GGA.

As for the energy of formation from the pure elements: 525 meV per atom. As for the distance to the lowest polymorph of the same formula: 10 meV/atom.

The space group is I4mm (No. 107) and the conventional cell measures 3.2329, 3.2329 and 15.2469 Å, with angles of 90.00, 90.00 and 90.00 degrees. Symmetry generates all atoms from Sr at (0.0000, 0.0000, 0.0000), Ta at (0.0000, 0.0000, 0.3268) and Pb at (0.0000, 0.0000, 0.6839).

***

Entry 8:
A relaxed PrNiHg crystal. Source: Alexandria, functional PBE-GGA.

As for the energy of formation from the pure elements: -279 meV per atom.

The space group is P-6m2 (No. 187) and the conventional cell measures 4.5470, 4.5470 and 3.8575 Å, with angles of 90.00, 90.00 and 120.00 degrees. Symmetry generates all atoms from Pr at (0.0000, 0.0000, 0.0000), Ni at (0.3333, 0.6667, 0.5000) and Hg at (0.6667, 0.3333, 0.5000).

***

Entry 9:
A relaxed MgCdGaAg crystal. Source: Alexandria, functional PBE-GGA.

As for the energy of formation from the pure elements: -50 meV per atom. As for the distance to the lowest polymorph of the same formula: 22 meV/atom.

The space group is F-43m (No. 216) and the conventional cell measures 6.7944, 6.7944 and 6.7944 Å, with angles of 90.00, 90.00 and 90.00 degrees. Symmetry generates all atoms from Mg at (0.0000, 0.0000, 0.0000), Cd at (0.0000, 0.0000, 0.5000), Ga at (0.2500, 0.2500, 0.7500) and Ag at (0.2500, 0.2500, 0.2500).

***

Entry 10:
A relaxed Ga2HgGe2 crystal. Source: Alexandria, functional PBE-GGA.

As for the energy of formation from the pure elements: 168 meV per atom. As for the distance to the lowest polymorph of the same formula: 62 meV/atom.

The space group is P4/mbm (No. 127) and the conventional cell measures 8.4229, 8.4229 and 2.9278 Å, with angles of 90.00, 90.00 and 90.00 degrees. Symmetry generates all atoms from Ga at (0.1514, 0.3486, 0.0000), Hg at (0.0000, 0.0000, 0.0000) and Ge at (0.1442, 0.6442, 0.5000).

***

Entry 11:
A relaxed SmMg2Mo3S8 crystal. Source: Alexandria, functional PBE-GGA.

The uncorrected formation energy comes out at -885 meV per atom.

The space group is R-3m (No. 166, hexagonal axes) and the conventional cell measures 7.5737, 7.5737 and 18.4184 Å, with angles of 90.00, 90.00 and 120.00 degrees. Symmetry generates all atoms from Sm at (0.0000, 0.0000, 0.0000), Mg at (0.0000, 0.0000, 0.3765), Mo at (0.0000, 0.5000, 0.5000), S at (0.0000, 0.0000, 0.2389) and S at (0.0110, 0.5055, 0.7622).

***

Entry 12:
A relaxed Cs4Pm3TlO8 crystal. Source: Alexandria, functional PBE-GGA.

The uncorrected formation energy comes out at -2105 meV per atom.

The space group is R-3m (No. 166, hexagonal axes) and the conventional cell measures 7.3147, 7.3147 and 20.7938 Å, with angles of 90.00, 90.00 and 120.00 degrees. Symmetry generates all atoms from Cs at (0.0000, 0.0000, 0.0000), Cs at (0.0000, 0.5000, 0.0000), Pm at (0.0000, 0.5000, 0.5000), Tl at (0.0000, 0.0000, 0.5000), O at (0.0000, 0.0000, 0.2221) and O at (0.0032, 0.5016, 0.7754).

***

Entry 13:
A relaxed CaDy2Hf crystal. Source: Alexandria, functional PBE-GGA.

As for the energy of formation from the pure elements: 479 meV per atom. As for the distance to the lowest polymorph of the same formula: 346 meV/atom.

The space group is R-3m (No. 166, hexagonal axes) and the conventional cell measures 3.3514, 3.3514 and 37.1908 Å, with angles of 90.00, 90.00 and 120.00 degrees. Symmetry generates all atoms from Ca at (0.0000, 0.0000, 0.0000), Dy at (0.0000, 0.0000, 0.4177) and Hf at (0.0000, 0.0000, 0.5000).

***

Entry 14:
A relaxed Sm3AgB2Pt9 crystal. Source: Alexandria, functional PBE-GGA.

As for the energy of formation from the pure elements: -734 meV per atom.

The space group is P-3m1 (No. 164) and the conventional cell measures 5.7625, 5.7625 and 9.5764 Å, with angles of 90.00, 90.00 and 120.00 degrees. Symmetry generates all atoms from Sm at (0.0000, 0.0000, 0.0000), Sm at (0.3333, 0.6667, 0.6126), Ag at (0.0000, 0.0000, 0.5000), B at (0.3333, 0.6667, 0.1461), Pt at (0.0000, 0.5000, 0.0000) and Pt at (0.1652, 0.3303, 0.2768).

***

Entry 15:
A relaxed BaSbAsBr2 crystal. Source: Alexandria, functional PBE-GGA.

The uncorrected formation energy comes out at 12 meV per atom. As for the distance to the lowest polymorph of the same formula: 692 meV/atom.

The space group is P4/mmm (No. 123) and the conventional cell measures 5.9665, 5.9665 and 6.5840 Å, with angles of 90.00, 90.00 and 90.00 degrees. Symmetry generates all atoms from Ba at (0.0000, 0.0000, 0.0000), Sb at (0.5000, 0.5000, 0.5000), As at (0.0000, 0.0000, 0.5000) and Br at (0.0000, 0.5000, 0.0000).

***

Entry 16:
A relaxed LiBeSnIr crystal. Source: Alexandria, functional PBE-GGA.

As for the energy of formation from the pure elements: -248 meV per atom.

The space group is F-43m (No. 216) and the conventional cell measures 6.1332, 6.1332 and 6.1332 Å, with angles of 90.00, 90.00 and 90.00 degrees. Symmetry generates all atoms from Li at (0.0000, 0.0000, 0.0000), Be at (0.2500, 0.2500, 0.2500), Sn at (0.2500, 0.2500, 0.7500) and Ir at (0.0000, 0.0000, 0.5000).

***

Entry 17:
A relaxed LaCrSi3 crystal. Source: Alexandria, functional PBE-GGA.

The uncorrected formation energy comes out at -216 meV per atom.

The space group is Pm-3m (No. 221) and the conventional cell measures 4.5217, 4.5217 and 4.5217 Å, with angles of 90.00, 90.00 and 90.00 degrees. Symmetry generates all atoms from La at (0.0000, 0.0000, 0.0000), Cr at (0.5000, 0.5000, 0.5000) and Si at (0.0000, 0.5000, 0.5000).

***

Entry 18:
A relaxed Mg6BiC crystal. Source: Alexandria, functional PBE-GGA.

As for the energy of formation from the pure elements: 271 meV per atom. As for the distance to the lowest polymorph of the same formula: 0 meV/atom.

The space group is Amm2 (No. 38) and the conventional cell measures 3.7084, 8.7630 and 10.2998 Å, with angles of 90.00, 90.00 and 90.00 degrees. Symmetry generates all atoms from Mg at (0.0000, 0.0000, 0.0000), Mg at (0.0000, 0.0000, 0.4868), Mg at (0.0000, 0.1640, 0.7381), Mg at (0.5000, 0.2399, 0.5056), Bi at (0.5000, 0.0000, 0.2380) and C at (0.5000, 0.0000, 0.6177).

***

Entry 19:
A relaxed NdVPb crystal. Source: Alexandria, functional PBE-GGA.

As for the energy of formation from the pure elements: 406 meV per atom.

The space group is Fmmm (No. 69) and the conventional cell measures 5.7224, 6.8811 and 17.7535 Å, with angles of 90.00, 90.00 and 90.00 degrees. Symmetry generates all atoms from Nd at (0.0000, 0.0000, 0.0985), V at (0.0000, 0.1354, 0.5000) and Pb at (0.2500, 0.2500, 0.2500).

***

Entry 20:
A relaxed KNaBS2 crystal. Source: Alexandria, functional PBE-GGA.

The uncorrected formation energy comes out at -515 meV per atom.

The space group is P2/c (No. 13) and the conventional cell measures 6.9901, 4.6468 and 8.1080 Å, with angles of 90.00, 104.76 and 90.00 degrees. Symmetry generates all atoms from K at (0.0000, 0.2477, 0.2500), Na at (0.5000, 0.0522, 0.7500), B at (0.5000, 0.5000, 0.0000) and S at (0.2883, 0.2897, 0.9739).

***

Entry 21:
A relaxed CeThMgIn crystal. Source: Alexandria, functional PBE-GGA.

As for the energy of formation from the pure elements: -92 meV per atom. As for the distance to the lowest polymorph of the same formula: 0 meV/atom.

The space group is F-43m (No. 216) and the conventional cell measures 7.7018, 7.7018 and 7.7018 Å, with angles of 90.00, 90.00 and 90.00 degrees. Symmetry generates all atoms from Ce at (0.0000, 0.0000, 0.0000), Th at (0.0000, 0.0000, 0.5000), Mg at (0.2500, 0.2500, 0.2500) and In at (0.2500, 0.2500, 0.7500).

***

Entry 22:
A relaxed Ti5Ge5Ir crystal. Source: Alexandria, functional PBE-GGA.

As for the energy of formation from the pure elements: -147 meV per atom.

The space group is C2/m (No. 12) and the conventional cell measures 9.9376, 5.1983 and 8.4355 Å, with angles of 90.00, 116.09 and 90.00 degrees. Symmetry generates all atoms from Ti at (0.0000, 0.0000, 0.0000), Ti at (0.1586, 0.5000, 0.3143), Ti at (0.1709, 0.5000, 0.8473), Ge at (0.0000, 0.5000, 0.5000), Ge at (0.1556, 0.0000, 0.8254), Ge at (0.1704, 0.0000, 0.3421) and Ir at (0.0000, 0.0000, 0.5000).